1.
A relaxed Sr2LaAgH crystal, computed with GGA-PBE.

Results
The total energy is -2.978 eV per atom. As for the density: 4.82 g cm⁻³. The calculation puts the total magnetic moment at 0.61 μB/f.u. The symmetry is No. 123.

POSCAR file:
```
Sr2LaAgH
1.0
5.479 0.000 0.000
0.000 5.479 0.000
0.000 0.000 4.860
Sr H Ag La
2 1 1 1
Cartesian
0.000 2.739 0.000
2.739 0.000 0.000
0.000 0.000 0.000
2.739 2.739 2.430
0.000 0.000 2.430
```



2.
A relaxed ZrTi3Rh4 crystal, computed with GGA-PBE.

Results
The total energy is -8.425 eV per atom. As for the density: 8.50 g cm⁻³. The calculation puts the total magnetic moment at 0.00 μB/f.u. The symmetry is No. 51. The formation enthalpy at 0 K comes out at -0.720 eV per atom.

POSCAR file:
```
ZrTi3Rh4
1.0
4.666 0.000 0.000
0.000 5.968 0.000
0.000 0.000 9.071
Rh Zr Ti
8 2 6
Cartesian
2.333 4.521 0.000
2.333 4.521 4.535
2.333 1.448 0.000
2.333 1.448 4.535
0.338 4.534 6.803
4.328 4.534 2.268
4.328 1.435 2.268
0.338 1.435 6.803
0.000 2.984 0.000
0.000 2.984 4.535
0.000 0.000 0.000
0.000 0.000 4.535
2.607 0.000 6.803
2.059 0.000 2.268
2.516 2.984 6.803
2.150 2.984 2.268
```



3.
A relaxed Li4Si2Ag crystal, computed with GGA-PBE.

Results
As for the uncorrected formation energy: -0.069 eV per atom. The total energy is -3.119 eV per atom. As for the density: 2.67 g cm⁻³. The calculation puts the total magnetic moment at 0.00 μB/f.u. The symmetry is No. 164.

POSCAR file:
```
Li4Si2Ag
1.0
3.911 0.000 0.000
-1.956 3.387 0.002
0.000 -0.008 9.012
Li Si Ag
4 2 1
Cartesian
1.956 1.127 2.009
0.000 2.252 7.006
1.956 1.124 5.697
0.000 2.256 3.318
1.956 1.122 8.491
0.000 2.258 0.524
0.000 -0.004 4.506
```



4.
A relaxed ZrSiAg crystal, computed with GGA-PBE.

Results
As for the uncorrected formation energy: 0.165 eV per atom. The total energy is -5.443 eV per atom. As for the density: 5.71 g cm⁻³. The calculation puts the total magnetic moment at 0.00 μB/f.u. The symmetry is No. 216.

POSCAR file:
```
ZrSiAg
1.0
-0.046 2.359 3.875
-2.232 -1.608 3.608
2.304 -1.512 3.604
Ag Si Zr
1 1 1
Cartesian
0.000 0.000 0.000
0.013 -0.381 5.544
0.020 -0.572 8.315
```